BeSn2W: relaxed, PBE. Values from VASP.

Output
DOS(E_F)   0.51 states/eV per atom
Energy   -5.18 eV per atom
Calculated volume   19.0 Å³ per atom
ΔE_f   1.00 eV per atom
Symmetry   No. 122

```
&SYSTEM
  ibrav = 0, nat = 8, ntyp = 3
/
ATOMIC_SPECIES
Sn 118.71 Sn.upf
Be 9.01 Be.upf
W 183.84 W.upf
ATOMIC_POSITIONS angstrom
Sn 9.272 9.007 2.077
Be 3.709 3.709 0.000
Be 3.709 7.417 1.385
Sn 5.563 5.828 2.077
Sn 5.298 1.854 0.692
Sn 2.119 5.563 0.692
W 7.417 3.709 1.385
W 0.000 0.000 0.000
CELL_PARAMETERS angstrom
7.417 0.000 0.000
0.000 7.417 0.000
3.709 3.709 2.769
```